Entry from Alexandria: an optimized crystal structure of BaSiSb2 (PBE-GGA). Values from VASP.

Structure (Quantum ESPRESSO input):
```
&SYSTEM
  ibrav = 0, nat = 4, ntyp = 3
/
ATOMIC_SPECIES
Sb 121.76 Sb.upf
Si 28.09 Si.upf
Ba 137.33 Ba.upf
ATOMIC_POSITIONS crystal
Sb 0.5000 0.5000 0.2744
Sb 0.0000 0.0000 0.0489
Si 0.0000 0.0000 0.4235
Ba 0.5000 0.5000 0.7532
CELL_PARAMETERS angstrom
-4.0422 -0.6766 0.4838
0.8117 -3.7332 1.5606
0.3086 2.7566 6.4338
```

The density of states at the Fermi level is 2.0 states/eV/f.u. The total energy is -4.023 eV/atom. The value obtained for the total magnetization is 0.00 μB per formula unit.

---

Entry from Alexandria: an optimized crystal structure of Tb6Ge2PS3 (PBE-GGA). Values from VASP.

Structure (Quantum ESPRESSO input):
```
&SYSTEM
  ibrav = 0, nat = 12, ntyp = 4
/
ATOMIC_SPECIES
S 32.06 S.upf
Tb 158.93 Tb.upf
Ge 72.64 Ge.upf
P 30.97 P.upf
ATOMIC_POSITIONS crystal
S 0.1655 0.8340 0.3311
S 0.8345 0.1660 0.6689
S 0.5000 0.5000 0.0000
Tb 0.6646 0.0831 0.3293
Tb 0.9988 0.7554 0.9977
Tb 0.3354 0.9169 0.6707
Tb 0.0012 0.2446 0.0023
Tb 0.6660 0.5827 0.3320
Tb 0.3340 0.4173 0.6680
Ge 0.8335 0.6678 0.6669
Ge 0.1665 0.3322 0.3331
P 0.5000 0.0000 0.0000
CELL_PARAMETERS angstrom
4.0477 0.0000 0.0000
0.0000 8.0708 0.3096
-2.0239 -2.3078 8.4902
```

The density of states at the Fermi level is 2.1 states/eV/f.u. The total energy is -6.177 eV/atom. The value obtained for the total magnetization is 0.00 μB per formula unit.

---

Entry from Alexandria: an optimized crystal structure of CaY2Er2 (PBE-GGA). Values from VASP.

Structure (Quantum ESPRESSO input):
```
&SYSTEM
  ibrav = 0, nat = 5, ntyp = 3
/
ATOMIC_SPECIES
Er 167.26 Er.upf
Ca 40.08 Ca.upf
Y 88.91 Y.upf
ATOMIC_POSITIONS crystal
Er 0.2500 0.7500 0.5000
Er 0.7500 0.2500 0.5000
Ca 0.0000 0.0000 0.0000
Y 0.8575 0.8575 0.7150
Y 0.1425 0.1425 0.2850
CELL_PARAMETERS angstrom
4.1340 0.0000 -0.6778
-0.1111 4.1325 -0.6778
0.0335 0.0344 13.1498
```

The formation energy comes out at 808 meV/atom. The density of states at the Fermi level is 9.4 states/eV/f.u. The total energy is -4.003 eV/atom. The value obtained for the total magnetization is 0.00 μB per formula unit.

---

Entry from Alexandria: an optimized crystal structure of SbIr2Au (PBE-GGA). Values from VASP.

Structure (Quantum ESPRESSO input):
```
&SYSTEM
  ibrav = 0, nat = 4, ntyp = 3
/
ATOMIC_SPECIES
Ir 192.22 Ir.upf
Au 196.97 Au.upf
Sb 121.76 Sb.upf
ATOMIC_POSITIONS crystal
Ir 0.0000 0.0000 0.0000
Ir 0.5000 0.5000 0.0000
Au 0.0000 0.5000 0.5000
Sb 0.5000 0.0000 0.5000
CELL_PARAMETERS angstrom
4.6515 0.0301 0.0000
-1.0027 4.5423 0.0000
0.0000 0.0000 3.2209
```

The density of states at the Fermi level is 2.4 states/eV/f.u. The total energy is -5.954 eV/atom. The value obtained for the total magnetization is 0.00 μB per formula unit.

---

Entry from Alexandria: an optimized crystal structure of NaCa2MnBr8 (PBE-GGA). Values from VASP.

Structure (Quantum ESPRESSO input):
```
&SYSTEM
  ibrav = 0, nat = 12, ntyp = 4
/
ATOMIC_SPECIES
Br 79.90 Br.upf
Mn 54.94 Mn.upf
Ca 40.08 Ca.upf
Na 22.99 Na.upf
ATOMIC_POSITIONS crystal
Br 0.6660 0.7501 0.0000
Br 0.6751 0.7138 0.5000
Br 0.8580 0.2218 0.7904
Br 0.3340 0.2499 0.0000
Br 0.3249 0.2862 0.5000
Br 0.8580 0.2218 0.2096
Br 0.1420 0.7782 0.2096
Br 0.1420 0.7782 0.7904
Mn 0.0000 0.0000 0.0000
Ca 0.5000 0.5000 0.2426
Ca 0.5000 0.5000 0.7574
Na 0.0000 0.0000 0.5000
CELL_PARAMETERS angstrom
-3.5359 -4.7056 -3.7865
4.3243 0.3623 -4.8073
4.4690 -6.2165 3.5517
```

The total energy is -3.767 eV/atom. The value obtained for the total magnetization is 3.97 μB per formula unit.

---

Entry from Alexandria: an optimized crystal structure of Ac4Y3ErSe8 (PBE-GGA). Values from VASP.

Structure (Quantum ESPRESSO input):
```
&SYSTEM
  ibrav = 0, nat = 16, ntyp = 4
/
ATOMIC_SPECIES
Y 88.91 Y.upf
Se 78.96 Se.upf
Ac 227.00 Ac.upf
Er 167.26 Er.upf
ATOMIC_POSITIONS crystal
Y 0.5000 0.5000 0.5000
Y 0.0000 0.5000 0.5000
Y 0.5000 0.5000 0.0000
Se 0.2382 0.7180 0.4764
Se 0.2380 0.7179 0.9799
Se 0.2601 0.2805 0.5202
Se 0.7399 0.7195 0.4798
Se 0.2581 0.2821 0.0201
Se 0.7620 0.2821 0.0201
Se 0.7618 0.2820 0.5236
Se 0.7419 0.7179 0.9799
Ac 0.5000 0.0000 0.5000
Ac 0.5000 0.0000 0.0000
Ac 0.0000 0.0000 0.5000
Ac 0.0000 0.0000 0.0000
Er 0.0000 0.5000 0.0000
CELL_PARAMETERS angstrom
8.2998 0.0000 0.0000
0.0000 8.7966 0.3441
-4.1499 -4.1467 5.8706
```

The density of states at the Fermi level is 7.7 states/eV/f.u. The total energy is -6.067 eV/atom. The value obtained for the total magnetization is 0.00 μB per formula unit.

---

Entry from Alexandria: an optimized crystal structure of Ce2TiS5 (PBE-GGA). Values from VASP.

Structure (Quantum ESPRESSO input):
```
&SYSTEM
  ibrav = 0, nat = 32, ntyp = 3
/
ATOMIC_SPECIES
S 32.06 S.upf
Ti 47.87 Ti.upf
Ce 140.12 Ce.upf
ATOMIC_POSITIONS crystal
S 0.3700 0.7500 0.3056
S 0.3545 0.2500 0.2927
S 0.8700 0.2500 0.1944
S 0.6815 0.4678 0.4341
S 0.1815 0.9678 0.0659
S 0.8185 0.4678 0.9341
S 0.4396 0.2500 0.0062
S 0.1455 0.2500 0.7927
S 0.6300 0.2500 0.6944
S 0.5604 0.7500 0.9938
S 0.3185 0.5322 0.5659
S 0.9396 0.7500 0.4938
S 0.3185 0.9678 0.5659
S 0.1300 0.7500 0.8056
S 0.8185 0.0322 0.9341
S 0.6815 0.0322 0.4341
S 0.8545 0.7500 0.2073
S 0.1815 0.5322 0.0659
S 0.0604 0.2500 0.5062
S 0.6455 0.7500 0.7073
Ti 0.9249 0.7500 0.9915
Ti 0.5751 0.7500 0.4915
Ti 0.4249 0.2500 0.5085
Ti 0.0751 0.2500 0.0085
Ce 0.5736 0.0003 0.1698
Ce 0.0736 0.9997 0.3302
Ce 0.0736 0.5003 0.3302
Ce 0.5736 0.4997 0.1698
Ce 0.9264 0.4997 0.6698
Ce 0.4264 0.5003 0.8302
Ce 0.9264 0.0003 0.6698
Ce 0.4264 0.9997 0.8302
CELL_PARAMETERS angstrom
7.1570 0.0000 0.0000
0.0000 8.0531 0.0000
0.0000 0.0000 11.0366
```

The density of states at the Fermi level is 11.0 states/eV/f.u. The total energy is -6.791 eV/atom. For the polymorph energy (0 for the lowest one), the calculation gives 0.0 meV/atom. The value obtained for the total magnetization is 2.04 μB per formula unit.

---

Entry from Alexandria: an optimized crystal structure of WN (PBE-GGA). Values from VASP.

Structure (Quantum ESPRESSO input):
```
&SYSTEM
  ibrav = 0, nat = 16, ntyp = 2
/
ATOMIC_SPECIES
W 183.84 W.upf
N 14.01 N.upf
ATOMIC_POSITIONS crystal
W 0.6281 0.3807 0.2056
W 0.8719 0.6193 0.7056
W 0.7848 0.8646 0.0616
W 0.2848 0.6354 0.9384
W 0.3719 0.8807 0.2944
W 0.2152 0.3646 0.4384
W 0.1281 0.1193 0.7944
W 0.7152 0.1354 0.5616
N 0.8504 0.4668 0.4282
N 0.6496 0.5332 0.9282
N 0.1496 0.9668 0.0718
N 0.7343 0.0188 0.3061
N 0.7657 0.9812 0.8061
N 0.2657 0.5188 0.1939
N 0.3504 0.0332 0.5718
N 0.2343 0.4812 0.6939
CELL_PARAMETERS angstrom
5.4091 0.0000 0.0000
0.0000 5.2182 0.0000
0.0000 0.0000 7.2707
```

The density of states at the Fermi level is 0.5 states/eV/f.u. The total energy is -10.632 eV/atom. The value obtained for the total magnetization is 0.00 μB per formula unit.

---

Entry from Alexandria: an optimized crystal structure of Li2TlPt (PBE-GGA). Values from VASP.

Structure (Quantum ESPRESSO input):
```
&SYSTEM
  ibrav = 0, nat = 4, ntyp = 3
/
ATOMIC_SPECIES
Li 6.94 Li.upf
Tl 204.38 Tl.upf
Pt 195.08 Pt.upf
ATOMIC_POSITIONS crystal
Li 0.0000 0.1250 0.9576
Li 0.5000 0.1250 0.3098
Tl 0.5000 0.6250 0.8014
Pt 0.0000 0.6250 0.4311
CELL_PARAMETERS angstrom
4.5755 0.0000 0.0000
0.0000 2.9907 -0.0023
0.0000 0.0037 4.8286
```

The formation energy comes out at -346 meV/atom. The density of states at the Fermi level is 1.5 states/eV/f.u. The total energy is -3.405 eV/atom. The value obtained for the total magnetization is 0.00 μB per formula unit.

---

Entry from Alexandria: an optimized crystal structure of Nd2Si4TcPt3 (PBE-GGA). Values from VASP.

Structure (Quantum ESPRESSO input):
```
&SYSTEM
  ibrav = 0, nat = 10, ntyp = 4
/
ATOMIC_SPECIES
Si 28.09 Si.upf
Nd 144.24 Nd.upf
Pt 195.08 Pt.upf
Tc 98.00 Tc.upf
ATOMIC_POSITIONS crystal
Si 0.5000 0.5000 0.0000
Si 0.5000 0.0000 0.6260
Si 0.0000 0.0000 0.0000
Si 0.0000 0.5000 0.3740
Nd 0.0000 0.5000 0.7557
Nd 0.5000 0.0000 0.2443
Pt 0.0000 0.0000 0.5000
Pt 0.0000 0.5000 0.1237
Pt 0.5000 0.0000 0.8763
Tc 0.5000 0.5000 0.5000
CELL_PARAMETERS angstrom
4.2479 0.0000 0.0000
0.0000 4.2479 0.0000
0.0000 0.0000 9.9149
```

The density of states at the Fermi level is 6.2 states/eV/f.u. The total energy is -7.006 eV/atom. The value obtained for the total magnetization is 0.00 μB per formula unit.

---

Entry from Alexandria: an optimized crystal structure of SmTlIn (PBE-GGA). Values from VASP.

Structure (Quantum ESPRESSO input):
```
&SYSTEM
  ibrav = 0, nat = 3, ntyp = 3
/
ATOMIC_SPECIES
Sm 150.36 Sm.upf
In 114.82 In.upf
Tl 204.38 Tl.upf
ATOMIC_POSITIONS crystal
Sm 0.6789 0.6667 0.3333
In 0.2691 0.3333 0.6667
Tl 0.0521 0.0000 0.0000
CELL_PARAMETERS angstrom
-1.3053 3.5289 -0.4808
-4.5396 -1.4627 1.5883
3.3889 1.7030 3.2992
```

The formation energy comes out at -340 meV/atom. The density of states at the Fermi level is 0.9 states/eV/f.u. The total energy is -3.615 eV/atom. For the polymorph energy (0 for the lowest one), the calculation gives 0.0 meV/atom. The value obtained for the total magnetization is 0.00 μB per formula unit.

---

> The highest total energy belongs to which entry?

Li2TlPt

---

> What is the total energy in the second record?

-6.177 eV/atom

---

> What is the formula in the eleventh record?

SmTlIn